This record from Alexandria describes a geometry-optimized Zn2CdAu structure. The functional is PBE.

a b c (Å): 4.395 4.395 5.276
angles (deg): 65.38 65.38 60.00
Fractional coordinates of all 4 atoms:
Zn1 0.062 0.062 0.815
Zn2 0.270 0.270 0.191
Cd1 0.484 0.484 0.547
Au1 0.684 0.684 0.947

## Properties
Space-group type: R3m (160)
E_tot in eV per atom: -1.761
Relative energy among the computed polymorphs in meV/atom: 19.2
Spin magnetization in μB per formula unit: 0.000
ΔE_f in eV/atom: -0.08

---

This record from Alexandria describes a geometry-optimized SbTe3 structure. The functional is PBE.

a b c (Å): 5.401 5.401 3.859
angles (deg): 90.00 90.00 90.02
Fractional coordinates of all 4 atoms:
Sb1 0.000 0.000 0.000
Te1 0.000 0.500 0.500
Te2 0.500 0.000 0.500
Te3 0.500 0.500 0.000

## Properties
Space-group type: P4/mmm (123)
E_tot in eV per atom: -3.117
Relative energy among the computed polymorphs in meV/atom: 261.0
Spin magnetization in μB per formula unit: 0.000

---

This record from Alexandria describes a geometry-optimized DyHoMgPa structure. The functional is PBE.

a b c (Å): 5.396 5.396 5.396
angles (deg): 60.00 60.00 60.00
Last column: magnetic moment on the atom in μB.
Fractional coordinates of all 4 atoms:
Mg1 0.750 0.750 0.750  0.00
Pa1 0.250 0.250 0.250  1.08
Ho1 0.000 0.000 0.000  0.27
Dy1 0.500 0.500 0.500  0.27

## Properties
Space-group type: F-43m (216)
E_tot in eV per atom: -4.723
Spin magnetization in μB per formula unit: 2.025
ΔE_f in eV/atom: 0.34

---

This record from Alexandria describes a geometry-optimized SrCuTeAs2 structure. The functional is PBE.

a b c (Å): 5.554 4.739 5.554
angles (deg): 90.00 90.00 90.00
Fractional coordinates of all 5 atoms:
Sr1 0.500 0.500 0.500
As1 0.000 0.000 0.500
As2 0.500 0.000 0.000
Te1 0.000 0.000 0.000
Cu1 0.000 0.500 0.000

## Properties
Space-group type: P4/mmm (123)
E_tot in eV per atom: -3.516
Spin magnetization in μB per formula unit: 0.000

---

This record from Alexandria describes a geometry-optimized LaRu2Au structure. The functional is PBE.

a b c (Å): 4.789 4.789 4.789
angles (deg): 60.00 60.00 60.00
Last column: magnetic moment on the atom in μB.
Fractional coordinates of all 4 atoms:
Au1 0.500 0.500 0.500  -0.01
La1 0.750 0.750 0.750  -0.04
Ru1 0.000 0.000 0.000  0.98
Ru2 0.250 0.250 0.250  0.91

## Properties
Space-group type: F-43m (216)
E_tot in eV per atom: -6.439
Relative energy among the computed polymorphs in meV/atom: 165.8
Spin magnetization in μB per formula unit: 1.828
ΔE_f in eV/atom: 0.25